Entry P
16
Lattice="2.4894 -5.6761 0.0000 2.4894 5.6761 0.0000 0.0000 0.0000 15.6958" Properties=species:S:1:pos:R:3 comment="Li3Ca3Tl2 (PBE-GGA, relaxed)" vol_a3_per_atom=27.7 pbc="T T T"
Li 2.4894 4.2354 8.3851
Li 2.4894 4.2354 15.1585
Li 2.4894 3.7333 3.9239
Li 2.4894 -3.7333 11.7718
Li 2.4894 -4.2354 0.5372
Li 2.4894 -4.2354 7.3106
Ca 2.4894 4.2591 11.7718
Ca 2.4894 1.0533 9.5437
Ca 2.4894 1.0533 14.0000
Ca 2.4894 -1.0533 1.6958
Ca 2.4894 -1.0533 6.1521
Ca 2.4894 -4.2591 3.9239
Tl 2.4894 2.2495 1.6027
Tl 2.4894 2.2495 6.2451
Tl 2.4894 -2.2495 9.4506
Tl 2.4894 -2.2495 14.0930

***

Entry Q
32
Lattice="8.6166 0.0000 0.0000 0.0000 16.7998 0.0000 0.0000 0.0000 6.1671" Properties=species:S:1:pos:R:3 comment="Li3Ca3Tl2 (PBE-GGA, relaxed)" vol_a3_per_atom=27.9 pbc="T T T"
Li 1.4731 4.2000 0.8100
Li 1.4955 8.9862 0.5885
Li 1.4955 16.2135 0.5885
Li 2.8128 0.5863 3.6720
Li 2.8128 7.8136 3.6720
Li 2.8352 12.5999 3.8935
Li 5.7814 4.2000 2.2736
Li 5.8039 8.9862 2.4951
Li 5.8039 16.2135 2.4951
Li 7.1211 0.5863 5.5786
Li 7.1211 7.8136 5.5786
Li 7.1435 12.5999 5.3571
Ca 0.2958 10.1661 3.8381
Ca 0.2958 15.0336 3.8381
Ca 1.3907 12.5999 0.8974
Ca 2.9176 4.2000 3.9810
Ca 4.0125 1.7662 0.7546
Ca 4.0125 6.6337 0.7546
Ca 4.6041 10.1661 5.4125
Ca 4.6041 15.0336 5.4125
Ca 5.6990 12.5999 2.1861
Ca 7.2260 4.2000 5.2697
Ca 8.3208 1.7662 2.3290
Ca 8.3208 6.6337 2.3290
Tl 1.0217 1.8456 5.3727
Tl 1.0217 6.5543 5.3727
Tl 3.2866 10.2455 2.2892
Tl 3.2866 14.9542 2.2892
Tl 5.3300 1.8456 3.8779
Tl 5.3300 6.5543 3.8779
Tl 7.5950 10.2455 0.7944
Tl 7.5950 14.9542 0.7944

***

Tell me which of them is the least stable. Sure, it is entry P.

***

Entry P
5
Lattice="5.9336 0.0000 0.0000 0.0000 5.9336 0.0000 0.0000 0.0000 5.9336" Properties=species:S:1:pos:R:3 comment="LiCaTl3 (PBE-GGA, relaxed)" vol_a3_per_atom=41.8 pbc="T T T"
Li 0.0000 0.0000 0.0000
Ca 2.9668 2.9668 2.9668
Tl 0.0000 2.9668 2.9668
Tl 2.9668 0.0000 2.9668
Tl 2.9668 2.9668 0.0000

***

Entry Q
10
Lattice="12.7579 -2.2460 0.0000 12.7579 2.2460 0.0000 -0.9501 0.0000 4.8510" Properties=species:S:1:pos:R:3 comment="LiCaTl3 (PBE-GGA, relaxed)" vol_a3_per_atom=27.8 pbc="T T T"
Li 3.2218 0.0000 1.8868
Li 21.3437 0.0000 2.9642
Ca 10.6665 0.0000 0.8508
Ca 13.8990 0.0000 4.0002
Tl 0.6252 0.0000 1.3809
Tl 4.1379 0.0000 4.5891
Tl 7.0479 0.0000 2.6563
Tl 17.5177 0.0000 2.1948
Tl 20.4277 0.0000 0.2619
Tl 23.9404 0.0000 3.4701

***

Tell me which of them is the least stable. Sure, it is entry P.

***

Entry P
9
Lattice="5.6259 -2.5284 0.0000 5.6259 2.5284 0.0000 -4.3074 0.0000 8.4745" Properties=species:S:1:pos:R:3 comment="Li2Ca3Tl4 (PBE-GGA, relaxed)" vol_a3_per_atom=26.8 pbc="T T T"
Li 0.2050 0.0000 2.6197
Li 6.7395 0.0000 5.8548
Ca -1.1348 0.0000 5.7070
Ca 5.6259 0.0000 0.0000
Ca 8.0793 0.0000 2.7675
Tl 2.1728 0.0000 0.6342
Tl 2.2438 0.0000 5.1907
Tl 4.7007 0.0000 3.2838
Tl 4.7717 0.0000 7.8403

***

Entry Q
9
Lattice="4.6954 -2.7148 0.0000 4.6954 2.7148 0.0000 -1.4957 0.0000 9.4898" Properties=species:S:1:pos:R:3 comment="Li2Ca3Tl4 (PBE-GGA, relaxed)" vol_a3_per_atom=26.9 pbc="T T T"
Li 1.4979 0.0000 3.8640
Li 6.3973 0.0000 5.6258
Ca 0.0890 0.0000 7.1168
Ca 4.6954 0.0000 0.0000
Ca 7.8062 0.0000 2.3730
Tl 1.5816 0.0000 1.0269
Tl 3.2218 0.0000 6.1309
Tl 4.6734 0.0000 3.3589
Tl 6.3136 0.0000 8.4629

***

Tell me which of them is the least stable. Sure, it is entry P.

***

Entry P
6
Lattice="3.9378 0.0000 0.0000 0.0000 3.9378 0.0000 0.0000 0.0000 11.7958" Properties=species:S:1:pos:R:3 comment="Li2Ca3Tl (PBE-GGA, relaxed)" vol_a3_per_atom=30.5 pbc="T T T"
Li 0.0000 0.0000 2.0176
Li 0.0000 0.0000 9.7781
Ca 1.9689 1.9689 0.0000
Ca 1.9689 1.9689 4.0226
Ca 1.9689 1.9689 7.7732
Tl 0.0000 0.0000 5.8979

***

Entry Q
12
Lattice="5.5013 0.0000 0.0000 -2.7507 4.7643 0.0000 0.0000 0.0000 13.4841" Properties=species:S:1:pos:R:3 comment="Li2Ca3Tl (PBE-GGA, relaxed)" vol_a3_per_atom=29.5 pbc="T T T"
Li 0.0000 0.0000 0.0000
Li 0.0000 0.0000 6.7420
Li 0.0000 3.1762 2.3187
Li 2.7507 1.5881 11.1654
Ca 0.0000 0.0000 3.4527
Ca 0.0000 0.0000 10.0313
Ca 0.0000 3.1762 5.6428
Ca 0.0000 3.1762 12.3011
Ca 2.7507 1.5881 1.1829
Ca 2.7507 1.5881 7.8413
Tl 0.0000 3.1762 8.9813
Tl 2.7507 1.5881 4.5027

***

Tell me which of them is the least stable. Sure, it is entry P.